The following is a DFT calculation (PBE) of a relaxed structure of LiScCdGa.

Summary:
Energy of formation = -0.351 eV/atom
Symmetry = F-43m, No. 216
E = -13.59 eV/f.u.

Cell lengths 4.735, 4.735, 4.735 Å; angles 60.00, 60.00, 60.00 degrees
Fractional positions:
Sc: 0.500 0.500 0.500
Li: 0.000 0.000 0.000
Ga: 0.250 0.250 0.250
Cd: 0.750 0.750 0.750


The following is a DFT calculation (PBE) of a relaxed structure of Ce2NbAu.

Summary:
Energy of formation = -0.084 eV/atom
Symmetry = P4/mmm, No. 123
E = -25.55 eV/f.u.

Cell lengths 3.590, 3.590, 7.474 Å; angles 90.00, 90.00, 90.00 degrees
Fractional positions:
Nb: 0.500 0.500 0.000
Au: 0.500 0.500 0.500
Ce: 0.000 0.000 0.760
Ce: 0.000 0.000 0.240


The following is a DFT calculation (PBE) of a relaxed structure of KMnZn2.

Summary:
Energy of formation = 0.632 eV/atom
Symmetry = I-4m2, No. 119
E = -10.29 eV/f.u.

Cell lengths 4.959, 4.959, 4.959 Å; angles 120.07, 120.07, 89.88 degrees
Fractional positions:
K: 0.500 0.500 0.000
Mn: 0.750 0.250 0.500
Zn: 0.000 0.000 0.000
Zn: 0.250 0.750 0.500


The following is a DFT calculation (PBE) of a relaxed structure of Cs2RbLiBi.

Summary:
Energy of formation = -0.150 eV/atom
Symmetry = P4/mmm, No. 123
E = -9.22 eV/f.u.

Cell lengths 7.826, 7.826, 5.475 Å; angles 90.00, 90.00, 90.00 degrees
Fractional positions:
Cs: 0.000 0.500 0.000
Cs: 0.500 0.000 0.000
Bi: 0.000 0.000 0.000
Rb: 0.500 0.500 0.500
Li: 0.000 0.000 0.500


The following is a DFT calculation (PBE) of a relaxed structure of La2AlCuH.

Summary:
Symmetry = P4/mmm, No. 123
E = -22.46 eV/f.u.

Cell lengths 5.207, 5.207, 3.875 Å; angles 90.00, 90.00, 90.00 degrees
Fractional positions:
H: 0.000 0.000 0.000
Al: 0.500 0.500 0.500
Cu: 0.000 0.000 0.500
La: 0.000 0.500 0.000
La: 0.500 0.000 0.000


The following is a DFT calculation (PBE) of a relaxed structure of PuVTcNi.

Summary:
Energy of formation = 0.090 eV/atom
Symmetry = F-43m, No. 216
E = -39.24 eV/f.u.

Cell lengths 4.463, 4.463, 4.463 Å; angles 60.00, 60.00, 60.00 degrees
Fractional positions:
Ni: 0.250 0.250 0.250
V: 0.500 0.500 0.500
Tc: 0.750 0.750 0.750
Pu: 0.000 0.000 0.000


The following is a DFT calculation (PBE) of a relaxed structure of InSiTc2.

Summary:
Uncorrected formation energy = 0.16 eV/atom
Symmetry = Amm2, No. 38
E = -28.25 eV/f.u.

Cell lengths 4.379, 2.982, 5.171 Å; angles 73.31, 90.00, 90.00 degrees
Fractional positions:
In: 0.000 0.552 0.520
Si: 0.500 0.921 0.782
Tc: 0.000 0.817 0.993
Tc: 0.500 0.210 0.204


The following is a DFT calculation (PBE) of a relaxed structure of TlZnP2.

Summary:
Energy of formation = 0.424 eV/atom
Symmetry = C2/m, No. 12
E = -12.76 eV/f.u.

Cell lengths 4.699, 4.699, 4.252 Å; angles 74.16, 74.16, 107.49 degrees
Fractional positions:
P: 0.000 0.000 0.000
P: 0.500 0.500 0.000
Tl: 0.500 0.000 0.500
Zn: 0.000 0.500 0.500


The following is a DFT calculation (PBE) of a relaxed structure of PuUN2.

Summary:
Uncorrected formation energy = -1.27 eV/atom
Symmetry = P6_3/mmc, No. 194
E = -47.34 eV/f.u.

Cell lengths 3.492, 3.492, 11.241 Å; angles 90.00, 90.00, 120.00 degrees
Fractional positions:
Pu: 0.667 0.333 0.250
Pu: 0.333 0.667 0.750
U: 0.000 0.000 0.500
U: 0.000 0.000 0.000
N: 0.333 0.667 0.388
N: 0.667 0.333 0.888
N: 0.667 0.333 0.612
N: 0.333 0.667 0.112


The following is a DFT calculation (PBE) of a relaxed structure of InPt3F.

Summary:
Uncorrected formation energy = 0.46 eV/atom
Symmetry = Pm-3m, No. 221
E = -20.41 eV/f.u.

Cell lengths 4.434, 4.434, 4.434 Å; angles 90.00, 90.00, 90.00 degrees
Fractional positions:
F: 0.000 0.000 0.000
Pt: 0.000 0.500 0.000
Pt: 0.000 0.000 0.500
Pt: 0.500 0.000 0.000
In: 0.500 0.500 0.500


The following is a DFT calculation (PBE) of a relaxed structure of HfBeAg3.

Summary:
Energy of formation = 1.647 eV/atom
Symmetry = Pm-3m, No. 221
E = -14.00 eV/f.u.

Cell lengths 5.267, 5.267, 5.267 Å; angles 90.00, 90.00, 90.00 degrees
Fractional positions:
Be: 0.500 0.500 0.500
Hf: 0.000 0.000 0.000
Ag: 0.000 0.500 0.000
Ag: 0.000 0.000 0.500
Ag: 0.500 0.000 0.000


The following is a DFT calculation (PBE) of a relaxed structure of HfZrMnCo.

Summary:
Energy of formation = -0.260 eV/atom
Symmetry = P4mm, No. 99
E = -35.82 eV/f.u.

Cell lengths 3.175, 3.175, 6.285 Å; angles 90.00, 90.00, 90.00 degrees
Fractional positions:
Hf: 0.000 0.000 0.855
Zr: 0.000 0.000 0.360
Mn: 0.500 0.500 0.610
Co: 0.500 0.500 0.103


no.,total magnetic moment (μB/cell)
1,0.00
2,0.00
3,4.09
4,0.00
5,0.00
6,3.14
7,0.00
8,0.00
9,13.13
10,0.00
11,0.00
12,0.00